DFT (PBE with a Hubbard U) results for a relaxed NaScCoO3 crystal.

* VASP energy: -70.25 eV per cell
* total magnetization: 3.39 μB per formula unit

a b c (Å): 6.047 8.981 8.981
angles (deg): 160.66 90.00 90.00
Last column: magnetic moment on the atom in μB.
Fractional coordinates of all 12 atoms:
O1 0.472 0.891 0.109  0.09
O2 0.028 0.891 0.109  0.09
O3 0.528 0.109 0.891  0.09
O4 0.972 0.109 0.891  0.09
O5 0.250 0.269 0.731  0.57
O6 0.750 0.731 0.269  0.57
Na1 0.750 0.325 0.675  0.01
Na2 0.250 0.675 0.325  0.01
Sc1 0.000 0.000 0.000  -0.12
Sc2 0.500 0.000 0.000  -0.12
Co1 0.250 0.363 0.637  2.65
Co2 0.750 0.637 0.363  2.65